The following is a DFT calculation (PBE) of a geometry-optimized Cs2AgHg structure.

Properties
calculated volume = 54.21 Å³ per atom
theoretical density = 4.4 g/cm³
energy relative to the elements = 0.040 eV per atom
space group = I-42d, No. 122
ΔE to the lowest computed polymorph = 0.64 eV per formula unit

a b c (Å): 10.152 10.152 8.321
angles (deg): 52.41 52.41 90.00
Atoms (fractional coordinates):
1 Cs 0.375 0.390 0.750
2 Cs 0.875 0.860 0.750
3 Cs 0.610 0.125 0.250
4 Cs 0.140 0.625 0.250
5 Hg 0.000 0.000 0.000
6 Hg 0.750 0.250 0.500
7 Ag 0.250 0.750 0.500
8 Ag 0.500 0.500 0.000

---

The following is a DFT calculation (PBE) of a geometry-optimized CsAgHg structure.

Properties
calculated volume = 44.53 Å³ per atom
theoretical density = 5.5 g/cm³
energy relative to the elements = 0.016 eV per atom
space group = F-43m, No. 216
ΔE to the lowest computed polymorph = 0.37 eV per formula unit

a b c (Å): 5.738 5.738 5.738
angles (deg): 60.00 60.00 60.00
Atoms (fractional coordinates):
1 Cs 0.000 0.000 0.000
2 Ag 0.250 0.250 0.250
3 Hg 0.500 0.500 0.500

---

The following is a DFT calculation (PBE) of a geometry-optimized Cs2AgHg structure.

Properties
calculated volume = 48.73 Å³ per atom
theoretical density = 4.9 g/cm³
energy relative to the elements = -0.121 eV per atom
space group = Amm2, No. 38
ΔE to the lowest computed polymorph = 0.00 eV per formula unit

a b c (Å): 5.160 5.486 7.412
angles (deg): 111.72 90.00 90.00
Atoms (fractional coordinates):
1 Hg 0.500 0.567 0.135
2 Cs 0.500 0.270 0.539
3 Cs 0.000 0.984 0.968
4 Ag 0.000 0.679 0.357

---

The following is a DFT calculation (PBE) of a geometry-optimized Cs2Ag2Hg structure.

Properties
calculated volume = 38.42 Å³ per atom
theoretical density = 5.9 g/cm³
energy relative to the elements = -0.019 eV per atom
space group = C2/c, No. 15
ΔE to the lowest computed polymorph = 0.18 eV per formula unit

a b c (Å): 7.203 6.924 9.206
angles (deg): 99.81 90.00 121.34
Atoms (fractional coordinates):
1 Ag 0.007 0.715 0.990
2 Ag 0.292 0.285 0.510
3 Ag 0.708 0.715 0.490
4 Ag 0.993 0.285 0.010
5 Hg 0.090 0.000 0.750
6 Hg 0.910 0.000 0.250
7 Cs 0.206 0.708 0.364
8 Cs 0.794 0.292 0.636
9 Cs 0.502 0.708 0.864
10 Cs 0.498 0.292 0.136

---

The following is a DFT calculation (PBE) of a geometry-optimized Cs4Ag2Hg5 structure.

Properties
calculated volume = 43.20 Å³ per atom
theoretical density = 6.1 g/cm³
energy relative to the elements = -0.163 eV per atom
space group = P2/m, No. 10

a b c (Å): 5.327 8.815 10.128
angles (deg): 92.39 90.00 90.00
Atoms (fractional coordinates):
1 Cs 0.500 0.232 0.139
2 Cs 0.500 0.768 0.861
3 Cs 0.500 0.751 0.374
4 Cs 0.500 0.249 0.626
5 Ag 0.000 0.925 0.620
6 Ag 0.000 0.075 0.380
7 Hg 0.000 0.407 0.365
8 Hg 0.000 0.096 0.874
9 Hg 0.000 0.593 0.635
10 Hg 0.000 0.904 0.126
11 Hg 0.000 0.500 0.000

---

The following is a DFT calculation (PBE) of a geometry-optimized CsAgHg3 structure.

Properties
calculated volume = 33.03 Å³ per atom
theoretical density = 8.5 g/cm³
energy relative to the elements = -0.136 eV per atom
space group = Cmcm, No. 63
ΔE to the lowest computed polymorph = 0.00 eV per formula unit

a b c (Å): 7.032 7.032 7.304
angles (deg): 90.00 90.00 66.14
Atoms (fractional coordinates):
1 Hg 0.562 0.201 0.802
2 Hg 0.401 0.604 0.052
3 Hg 0.999 0.764 0.802
4 Hg 0.562 0.201 0.302
5 Hg 0.999 0.764 0.302
6 Hg 0.159 0.362 0.552
7 Ag 0.916 0.119 0.552
8 Ag 0.645 0.847 0.052
9 Cs 0.515 0.718 0.552
10 Cs 0.046 0.248 0.052

---

The following is a DFT calculation (PBE) of a geometry-optimized CsAgHg structure.

Properties
calculated volume = 43.37 Å³ per atom
theoretical density = 5.6 g/cm³
energy relative to the elements = -0.066 eV per atom
space group = P-1, No. 2
ΔE to the lowest computed polymorph = 0.13 eV per formula unit

a b c (Å): 4.678 7.125 8.614
angles (deg): 105.50 90.52 108.96
Atoms (fractional coordinates):
1 Cs 0.401 0.315 0.243
2 Cs 0.592 0.681 0.754
3 Hg 0.320 0.140 0.778
4 Hg 0.672 0.856 0.218
5 Ag 0.810 0.125 0.562
6 Ag 0.182 0.870 0.435

---

The following is a DFT calculation (PBE) of a geometry-optimized Cs4AgHg2 structure.

Properties
calculated volume = 71.98 Å³ per atom
theoretical density = 3.4 g/cm³
energy relative to the elements = -0.046 eV per atom
space group = I4/mmm, No. 139

a b c (Å): 6.895 6.895 11.667
angles (deg): 72.81 72.81 90.00
Atoms (fractional coordinates):
1 Ag 0.000 0.000 0.000
2 Hg 0.134 0.134 0.732
3 Hg 0.866 0.866 0.268
4 Cs 0.500 0.000 0.000
5 Cs 0.686 0.686 0.628
6 Cs 0.000 0.500 0.000
7 Cs 0.314 0.314 0.372

---

The following is a DFT calculation (PBE) of a geometry-optimized Cs2AgHg structure.

Properties
calculated volume = 70.52 Å³ per atom
theoretical density = 3.4 g/cm³
energy relative to the elements = 0.081 eV per atom
space group = R-3m, No. 166
ΔE to the lowest computed polymorph = 0.81 eV per formula unit

a b c (Å): 5.157 5.157 12.603
angles (deg): 78.19 78.19 60.00
Atoms (fractional coordinates):
1 Hg 0.000 0.000 0.000
2 Cs 0.107 0.107 0.680
3 Cs 0.893 0.893 0.320
4 Ag 0.500 0.500 0.500

---

The following is a DFT calculation (PBE) of a geometry-optimized CsAgHg4 structure.

Properties
calculated volume = 32.38 Å³ per atom
theoretical density = 8.9 g/cm³
energy relative to the elements = -0.026 eV per atom
space group = F-43m, No. 216
ΔE to the lowest computed polymorph = 0.48 eV per formula unit

a b c (Å): 6.501 6.501 6.501
angles (deg): 60.00 60.00 60.00
Atoms (fractional coordinates):
1 Cs 0.250 0.250 0.250
2 Hg 0.626 0.626 0.121
3 Hg 0.626 0.626 0.626
4 Hg 0.626 0.121 0.626
5 Hg 0.121 0.626 0.626
6 Ag 0.000 0.000 0.000

---

The following is a DFT calculation (PBE) of a geometry-optimized Cs4AgHg3 structure.

Properties
calculated volume = 50.49 Å³ per atom
theoretical density = 5.1 g/cm³
energy relative to the elements = -0.181 eV per atom
space group = Pmm2, No. 25

a b c (Å): 5.520 5.308 13.786
angles (deg): 90.00 90.00 90.00
Atoms (fractional coordinates):
1 Hg 0.500 0.000 0.947
2 Hg 0.000 0.000 0.441
3 Hg 0.000 0.500 0.556
4 Ag 0.500 0.500 0.052
5 Cs 0.500 0.500 0.350
6 Cs 0.500 0.000 0.647
7 Cs 0.000 0.500 0.864
8 Cs 0.000 0.000 0.142

---

The following is a DFT calculation (PBE) of a geometry-optimized Cs2Ag2Hg structure.

Properties
calculated volume = 48.42 Å³ per atom
theoretical density = 4.7 g/cm³
energy relative to the elements = 0.084 eV per atom
space group = P4/mbm, No. 127
ΔE to the lowest computed polymorph = 0.69 eV per formula unit

a b c (Å): 10.294 10.294 4.570
angles (deg): 90.00 90.00 90.00
Atoms (fractional coordinates):
1 Hg 0.000 0.000 0.000
2 Hg 0.500 0.500 0.000
3 Ag 0.399 0.899 0.500
4 Ag 0.101 0.399 0.500
5 Ag 0.601 0.101 0.500
6 Ag 0.899 0.601 0.500
7 Cs 0.179 0.679 0.000
8 Cs 0.679 0.821 0.000
9 Cs 0.321 0.179 0.000
10 Cs 0.821 0.321 0.000

---

The following is a DFT calculation (PBE) of a geometry-optimized CsAg2HgI6 structure.

Properties
calculated volume = 49.26 Å³ per atom
theoretical density = 4.4 g/cm³
space group = C2/c, No. 15
formation energy from raw total energies = -0.4516 eV per atom

a b c (Å): 9.614 10.987 10.987
angles (deg): 82.26 67.13 67.13
Atoms (fractional coordinates):
1 Hg 0.250 0.167 0.833
2 Hg 0.750 0.833 0.167
3 I 0.456 0.892 0.382
4 I 0.323 0.166 0.073
5 I 0.718 0.581 0.641
6 I 0.823 0.073 0.166
7 I 0.218 0.641 0.581
8 I 0.544 0.108 0.618
9 I 0.282 0.419 0.359
10 I 0.677 0.834 0.927
11 I 0.782 0.359 0.419
12 I 0.956 0.382 0.892
13 I 0.044 0.618 0.108
14 I 0.177 0.927 0.834
15 Ag 0.578 0.250 0.367
16 Ag 0.422 0.750 0.633
17 Ag 0.922 0.633 0.750
18 Ag 0.078 0.367 0.250
19 Cs 0.750 0.184 0.816
20 Cs 0.250 0.816 0.184

---

The following is a DFT calculation (PBE) of a geometry-optimized Cs2Ag2HgI6 structure.

Properties
calculated volume = 44.98 Å³ per atom
theoretical density = 4.8 g/cm³
space group = C2/m, No. 12
formation energy from raw total energies = -0.6929 eV per atom

a b c (Å): 8.431 9.082 8.334
angles (deg): 115.35 90.00 117.66
Atoms (fractional coordinates):
1 Cs 0.259 0.518 0.787
2 Cs 0.741 0.482 0.213
3 Hg 0.500 0.000 0.500
4 I 0.745 0.491 0.689
5 I 0.698 0.910 0.210
6 I 0.302 0.090 0.790
7 I 0.788 0.090 0.790
8 I 0.212 0.910 0.210
9 I 0.255 0.509 0.311
10 Ag 0.934 0.868 0.791
11 Ag 0.066 0.132 0.209

---

The following is a DFT calculation (PBE) of a geometry-optimized Cs2AgHgI6 structure.

Properties
calculated volume = 44.10 Å³ per atom
theoretical density = 5.0 g/cm³
space group = I4/mmm, No. 139
formation energy from raw total energies = -0.7236 eV per atom

a b c (Å): 8.481 8.481 8.577
angles (deg): 60.37 60.37 90.00
Atoms (fractional coordinates):
1 I 0.243 0.757 0.000
2 I 0.757 0.757 0.000
3 I 0.724 0.724 0.552
4 I 0.243 0.243 0.000
5 I 0.276 0.276 0.448
6 I 0.757 0.243 0.000
7 Hg 0.000 0.000 0.000
8 Cs 0.250 0.750 0.500
9 Cs 0.750 0.250 0.500
10 Ag 0.500 0.500 0.000

---

The following is a DFT calculation (PBE) of a geometry-optimized CsAgHgI4 structure.

Properties
calculated volume = 46.42 Å³ per atom
theoretical density = 4.8 g/cm³
space group = P2_1/m, No. 11
formation energy from raw total energies = -0.6341 eV per atom

a b c (Å): 7.463 8.600 10.485
angles (deg): 90.00 105.04 90.00
Atoms (fractional coordinates):
1 I 0.063 0.000 0.722
2 I 0.346 0.750 0.092
3 I 0.937 0.000 0.278
4 I 0.937 0.500 0.278
5 I 0.535 0.750 0.527
6 I 0.465 0.250 0.473
7 I 0.654 0.250 0.908
8 I 0.063 0.500 0.722
9 Hg 0.197 0.750 0.339
10 Hg 0.803 0.250 0.661
11 Cs 0.770 0.750 0.928
12 Cs 0.230 0.250 0.072
13 Ag 0.315 0.250 0.699
14 Ag 0.685 0.750 0.301

---

The following is a DFT calculation (PBE) of a geometry-optimized CsAgHg2I structure.

Properties
calculated volume = 42.22 Å³ per atom
theoretical density = 6.0 g/cm³
space group = P4/mmm, No. 123
formation energy from raw total energies = -0.4106 eV per atom

a b c (Å): 5.537 5.537 6.886
angles (deg): 90.00 90.00 90.00
Atoms (fractional coordinates):
1 Hg 0.500 0.000 0.000
2 Hg 0.000 0.500 0.000
3 Ag 0.000 0.000 0.000
4 Cs 0.500 0.500 0.500
5 I 0.000 0.000 0.500

---

The following is a DFT calculation (PBE) of a geometry-optimized Cs2AgHg2I6 structure.

Properties
calculated volume = 47.73 Å³ per atom
theoretical density = 4.9 g/cm³
space group = C2/m, No. 12
formation energy from raw total energies = -0.6923 eV per atom

a b c (Å): 8.726 8.789 9.178
angles (deg): 116.37 90.00 119.76
Atoms (fractional coordinates):
1 I 0.263 0.527 0.357
2 I 0.318 0.090 0.770
3 I 0.737 0.473 0.643
4 I 0.773 0.090 0.770
5 I 0.682 0.910 0.230
6 I 0.227 0.910 0.230
7 Ag 0.500 0.000 0.500
8 Cs 0.275 0.550 0.792
9 Cs 0.725 0.450 0.208
10 Hg 0.046 0.092 0.179
11 Hg 0.954 0.908 0.821

---

The following is a DFT calculation (PBE) of a geometry-optimized Cs2InAgHg6 structure.

Properties
calculated volume = 37.68 Å³ per atom
theoretical density = 7.5 g/cm³
energy relative to the elements = -0.132 eV per atom
space group = I4/mmm, No. 139

a b c (Å): 8.104 8.104 8.110
angles (deg): 59.99 59.99 89.91
Atoms (fractional coordinates):
1 Hg 0.256 0.256 0.000
2 Hg 0.744 0.744 0.513
3 Hg 0.256 0.744 0.000
4 Hg 0.744 0.256 0.000
5 Hg 0.744 0.744 0.000
6 Hg 0.256 0.256 0.487
7 Cs 0.750 0.250 0.500
8 Cs 0.250 0.750 0.500
9 Ag 0.500 0.500 0.000
10 In 0.000 0.000 0.000

---

The following is a DFT calculation (PBE) of a geometry-optimized CsInAg2Hg structure.

Properties
calculated volume = 34.94 Å³ per atom
theoretical density = 6.3 g/cm³
energy relative to the elements = 0.027 eV per atom
space group = P4/mmm, No. 123

a b c (Å): 5.501 5.501 5.772
angles (deg): 90.00 90.00 90.00
Atoms (fractional coordinates):
1 Hg 0.000 0.000 0.500
2 Ag 0.500 0.000 0.000
3 Ag 0.000 0.500 0.000
4 In 0.000 0.000 0.000
5 Cs 0.500 0.500 0.500

---

The following is a DFT calculation (PBE) of a geometry-optimized CsIn2AgHg structure.

Properties
calculated volume = 35.38 Å³ per atom
theoretical density = 6.3 g/cm³
energy relative to the elements = 0.046 eV per atom
space group = P4/mmm, No. 123

a b c (Å): 5.509 5.509 5.829
angles (deg): 90.00 90.00 90.00
Atoms (fractional coordinates):
1 In 0.500 0.000 0.000
2 In 0.000 0.500 0.000
3 Hg 0.000 0.000 0.500
4 Ag 0.000 0.000 0.000
5 Cs 0.500 0.500 0.500

---

The following is a DFT calculation (PBE) of a geometry-optimized CsKAgHg2 structure.

Properties
calculated volume = 39.37 Å³ per atom
theoretical density = 5.7 g/cm³
energy relative to the elements = -0.053 eV per atom
space group = P4/mmm, No. 123
ΔE to the lowest computed polymorph = 0.00 eV per formula unit

a b c (Å): 5.666 5.666 6.131
angles (deg): 90.00 90.00 90.00
Atoms (fractional coordinates):
1 Ag 0.000 0.000 0.000
2 Hg 0.500 0.000 0.000
3 Hg 0.000 0.500 0.000
4 K 0.000 0.000 0.500
5 Cs 0.500 0.500 0.500

---

The following is a DFT calculation (PBE) of a geometry-optimized Cs4K2AgHg2 structure.

Properties
calculated volume = 64.72 Å³ per atom
theoretical density = 3.2 g/cm³
energy relative to the elements = -0.087 eV per atom
space group = P-1, No. 2

a b c (Å): 7.003 8.690 11.175
angles (deg): 106.75 112.65 70.79
Atoms (fractional coordinates):
1 Cs 0.938 0.815 0.646
2 Cs 0.593 0.795 0.105
3 Cs 0.407 0.205 0.895
4 Cs 0.062 0.185 0.354
5 K 0.677 0.428 0.700
6 K 0.323 0.572 0.300
7 Hg 0.947 0.355 0.037
8 Hg 0.053 0.645 0.963
9 Ag 0.000 0.000 0.000

---

The following is a DFT calculation (PBE) of a geometry-optimized CsKAgHg2 structure.

Properties
calculated volume = 41.53 Å³ per atom
theoretical density = 5.4 g/cm³
energy relative to the elements = 0.012 eV per atom
space group = P4/mmm, No. 123
ΔE to the lowest computed polymorph = 0.33 eV per formula unit

a b c (Å): 5.675 5.675 6.448
angles (deg): 90.00 90.00 90.00
Atoms (fractional coordinates):
1 Hg 0.000 0.500 0.000
2 Hg 0.500 0.000 0.000
3 K 0.500 0.500 0.500
4 Ag 0.000 0.000 0.000
5 Cs 0.000 0.000 0.500